A geometry-optimized ZrBW2 structure. Source: the Open Quantum Materials Database, functional PBE.

Computed properties:
- ρ: 12.74 g/cm³
- E_tot: -38.904 eV for the cell shown
- M_tot: 0.000 μB/f.u.
- Symmetry: F-43m, No. 216

a = 4.4236 Å, b = 4.4236 Å, c = 4.4236 Å
α = 60.00°, β = 60.00°, γ = 60.00°
With the nearest neighbours (Å) after each atom.
Sites, in units of the cell vectors:
Zr  0.0000  0.0000  0.0000  4 W 2.71, 4 B 2.71
B  0.7500  0.7500  0.7500  4 Zr 2.71, 4 W 2.71
W  0.2500  0.2500  0.2500  4 Zr 2.71, 4 W 2.71
W  0.5000  0.5000  0.5000  4 W 2.71, 4 B 2.71

---

A geometry-optimized Zr2BW structure. Source: the Open Quantum Materials Database, functional PBE.

Computed properties:
- ρ: 9.60 g/cm³
- E_tot: -34.173 eV for the cell shown
- M_tot: 0.734 μB/f.u.
- Symmetry: F-43m, No. 216

a = 4.5188 Å, b = 4.5188 Å, c = 4.5188 Å
α = 60.00°, β = 60.00°, γ = 60.00°
With the nearest neighbours (Å) after each atom.
Sites, in units of the cell vectors:
Zr  0.0000  0.0000  0.0000  4 Zr 2.77, 4 W 2.77
Zr  0.2500  0.2500  0.2500  4 Zr 2.77, 4 B 2.77
B  0.5000  0.5000  0.5000  4 Zr 2.77, 4 W 2.77
W  0.7500  0.7500  0.7500  4 Zr 2.77, 4 B 2.77

---

A geometry-optimized ZrB4W structure. Source: the Open Quantum Materials Database, functional PBE.

Computed properties:
- ρ: 9.29 g/cm³
- E_tot: -51.528 eV for the cell shown
- Energy above the lowest structure with this stoichiometry: 0.00 eV per formula unit
- M_tot: 0.001 μB/f.u.
- Symmetry: Immm, No. 71

a = 4.5961 Å, b = 4.5961 Å, c = 4.5961 Å
α = 140.24°, β = 108.40°, γ = 85.16°
With the nearest neighbours (Å) after each atom.
Sites, in units of the cell vectors:
Zr  0.0000  0.0000  0.0000  12 B 2.47
B  0.0847  0.7504  0.3343  3 B 1.78-1.81
B  0.4160  0.7504  0.6657  3 B 1.78-1.81
B  0.5840  0.2496  0.3343  3 B 1.78-1.81
B  0.9153  0.2496  0.6657  3 B 1.78-1.81
W  0.5000  0.5000  0.0000  12 B 2.47

---

A geometry-optimized ZrB4W structure. Source: the Open Quantum Materials Database, functional PBE.

Computed properties:
- ρ: 9.26 g/cm³
- E_tot: -51.463 eV for the cell shown
- Energy above the lowest structure with this stoichiometry: 0.07 eV per formula unit
- M_tot: 0.003 μB/f.u.
- Symmetry: P6/mmm, No. 191

a = 3.1193 Å, b = 3.1193 Å, c = 6.7722 Å
α = 90.00°, β = 90.00°, γ = 120.00°
With the nearest neighbours (Å) after each atom.
Sites, in units of the cell vectors:
Zr  0.0000  0.0000  0.0000  12 B 2.52
B  0.3333  0.6667  0.2609  3 B 1.80
B  0.3333  0.6667  0.7391  3 B 1.80
B  0.6667  0.3333  0.2609  3 B 1.80
B  0.6667  0.3333  0.7391  3 B 1.80
W  0.0000  0.0000  0.5000  12 B 2.42

---

A geometry-optimized ZrB4W structure. Source: the Open Quantum Materials Database, functional PBE.

Computed properties:
- ρ: 8.81 g/cm³
- E_tot: -205.612 eV for the cell shown
- Energy above the lowest structure with this stoichiometry: 0.12 eV per formula unit
- M_tot: 0.002 μB/f.u.
- Symmetry: Pbam, No. 55

a = 5.9417 Å, b = 11.4726 Å, c = 3.5212 Å
α = 90.00°, β = 90.00°, γ = 90.00°
With the nearest neighbours (Å) after each atom.
Sites, in units of the cell vectors:
Zr  0.1284  0.1491  0.0000  14 B 2.59-2.78
Zr  0.3716  0.6491  0.0000  14 B 2.59-2.78
Zr  0.6284  0.3509  0.0000  14 B 2.59-2.78
Zr  0.8716  0.8509  0.0000  14 B 2.59-2.78
B  0.0216  0.6958  0.5000  3 B 1.71-1.89
B  0.1169  0.5489  0.5000  3 B 1.77-1.79
B  0.1299  0.9682  0.5000  3 B 1.71-1.85
B  0.2031  0.8118  0.5000  3 B 1.71-1.89
B  0.2969  0.3118  0.5000  3 B 1.71-1.89
B  0.3701  0.4682  0.5000  3 B 1.71-1.85
B  0.3831  0.0489  0.5000  3 B 1.77-1.79
B  0.4784  0.1958  0.5000  3 B 1.71-1.89
B  0.5216  0.8042  0.5000  3 B 1.71-1.89
B  0.6169  0.9511  0.5000  3 B 1.77-1.79
B  0.6299  0.5318  0.5000  3 B 1.71-1.85
B  0.7031  0.6882  0.5000  3 B 1.71-1.89
B  0.7969  0.1882  0.5000  3 B 1.71-1.89
B  0.8701  0.0318  0.5000  3 B 1.71-1.85
B  0.8831  0.4511  0.5000  3 B 1.77-1.79
B  0.9784  0.3042  0.5000  3 B 1.71-1.89
W  0.1356  0.4119  0.0000  10 B 2.31-2.36, 1 W 2.58
W  0.3644  0.9119  0.0000  10 B 2.31-2.36, 1 W 2.58
W  0.6355  0.0881  0.0000  10 B 2.31-2.36, 1 W 2.58
W  0.8644  0.5881  0.0000  10 B 2.31-2.36, 1 W 2.58

---

A geometry-optimized Y3ZnB2 structure. Source: the Open Quantum Materials Database, functional PBE.

Computed properties:
- ρ: 4.56 g/cm³
- E_tot: -66.989 eV for the cell shown
- M_tot: 0.135 μB/f.u.
- Symmetry: P6_3/mmc, No. 194

a = 3.6714 Å, b = 3.6714 Å, c = 22.0715 Å
α = 90.00°, β = 90.00°, γ = 120.00°
With the nearest neighbours (Å) after each atom.
Sites, in units of the cell vectors:
Y  0.0000  0.0000  0.0000  6 B 2.72
Y  0.0000  0.0000  0.5000  6 B 2.72
Y  0.3333  0.6667  0.1433  3 B 2.57
Y  0.3333  0.6667  0.3567  3 B 2.57
Y  0.6667  0.3333  0.6433  3 B 2.57
Y  0.6667  0.3333  0.8567  3 B 2.57
Zn  0.0000  0.0000  0.2500  6 Y 3.17
Zn  0.0000  0.0000  0.7500  6 Y 3.17
B  0.3333  0.6667  0.5776  6 Y 2.57-2.72
B  0.3333  0.6667  0.9224  6 Y 2.57-2.72
B  0.6667  0.3333  0.0776  6 Y 2.57-2.72
B  0.6667  0.3333  0.4224  6 Y 2.57-2.72

---

A geometry-optimized YZnB4 structure. Source: the Open Quantum Materials Database, functional PBE.

Computed properties:
- ρ: 5.00 g/cm³
- E_tot: -35.333 eV for the cell shown
- Energy above the lowest structure with this stoichiometry: 0.00 eV per formula unit
- M_tot: 0.000 μB/f.u.
- Symmetry: Immm, No. 71

a = 4.9802 Å, b = 4.9802 Å, c = 4.9802 Å
α = 142.71°, β = 116.33°, γ = 76.16°
With the nearest neighbours (Å) after each atom.
Sites, in units of the cell vectors:
Y  0.0000  0.0000  0.0000  12 B 2.63-2.66
Zn  0.5000  0.5000  0.0000  12 B 2.53-2.75
B  0.0625  0.7389  0.3236  3 B 1.78-1.85
B  0.4152  0.7389  0.6764  3 B 1.78-1.85
B  0.5848  0.2611  0.3236  3 B 1.78-1.85
B  0.9375  0.2611  0.6764  3 B 1.78-1.85

---

A geometry-optimized YZnB4 structure. Source: the Open Quantum Materials Database, functional PBE.

Computed properties:
- ρ: 5.24 g/cm³
- E_tot: -34.758 eV for the cell shown
- Energy above the lowest structure with this stoichiometry: 0.57 eV per formula unit
- M_tot: 0.008 μB/f.u.
- Symmetry: P6/mmm, No. 191

a = 3.1822 Å, b = 3.1822 Å, c = 7.1435 Å
α = 90.00°, β = 90.00°, γ = 120.00°
With the nearest neighbours (Å) after each atom.
Sites, in units of the cell vectors:
Y  0.0000  0.0000  0.0000  12 B 2.67
Zn  0.0000  0.0000  0.5000  12 B 2.46
B  0.3333  0.6667  0.2705  3 B 1.84
B  0.3333  0.6667  0.7295  3 B 1.84
B  0.6667  0.3333  0.2705  3 B 1.84
B  0.6667  0.3333  0.7295  3 B 1.84

---

A geometry-optimized Y4ZnB3 structure. Source: the Open Quantum Materials Database, functional PBE.

Computed properties:
- ρ: 4.53 g/cm³
- E_tot: -92.069 eV for the cell shown
- M_tot: 0.004 μB/f.u.
- Symmetry: P6_3/mmc, No. 194

a = 3.6292 Å, b = 3.6292 Å, c = 29.1572 Å
α = 90.00°, β = 90.00°, γ = 120.00°
With the nearest neighbours (Å) after each atom.
Sites, in units of the cell vectors:
Y  0.0000  0.0000  0.1685  3 B 2.57
Y  0.0000  0.0000  0.3315  3 B 2.57
Y  0.0000  0.0000  0.6685  3 B 2.57
Y  0.0000  0.0000  0.8315  3 B 2.57
Y  0.3333  0.6667  0.0572  6 B 2.68-2.74
Y  0.3333  0.6667  0.4428  6 B 2.68-2.74
Y  0.6667  0.3333  0.5572  6 B 2.68-2.74
Y  0.6667  0.3333  0.9428  6 B 2.68-2.74
Zn  0.3333  0.6667  0.2500  6 Y 3.17
Zn  0.6667  0.3333  0.7500  6 Y 3.17
B  0.0000  0.0000  0.0000  6 Y 2.68
B  0.0000  0.0000  0.5000  6 Y 2.68
B  0.3333  0.6667  0.6178  6 Y 2.57-2.74
B  0.3333  0.6667  0.8822  6 Y 2.57-2.74
B  0.6667  0.3333  0.1178  6 Y 2.57-2.74
B  0.6667  0.3333  0.3822  6 Y 2.57-2.74

---

A geometry-optimized Y4ZrB3 structure. Source: the Open Quantum Materials Database, functional PBE.

Computed properties:
- ρ: 4.72 g/cm³
- E_tot: -49.449 eV for the cell shown
- M_tot: 0.038 μB/f.u.
- Symmetry: I-42m, No. 121

a = 6.0554 Å, b = 6.0554 Å, c = 6.0554 Å
α = 105.90°, β = 105.90°, γ = 116.89°
With the nearest neighbours (Å) after each atom.
Sites, in units of the cell vectors:
Y  0.1426  0.1426  0.5521  3 B 2.46-2.70
Y  0.4095  0.8574  0.0000  3 B 2.46-2.70
Y  0.5905  0.5905  0.4479  3 B 2.46-2.70
Y  0.8574  0.4095  0.0000  3 B 2.46-2.70
Zr  0.0000  0.0000  0.0000  8 Y 2.97-3.28, 2 B 3.17
B  0.2500  0.7500  0.5000  4 Y 2.70
B  0.5000  0.5000  0.0000  4 Y 2.46
B  0.7500  0.2500  0.5000  4 Y 2.70

---

A geometry-optimized YZrB2 structure. Source: the Open Quantum Materials Database, functional PBE.

Computed properties:
- ρ: 5.46 g/cm³
- E_tot: -22.859 eV for the cell shown
- M_tot: 0.001 μB/f.u.
- Symmetry: F-43m, No. 216

a = 4.4268 Å, b = 4.4268 Å, c = 4.4268 Å
α = 60.00°, β = 60.00°, γ = 60.00°
With the nearest neighbours (Å) after each atom.
Sites, in units of the cell vectors:
Y  0.0000  0.0000  0.0000  4 B 2.71, 4 Zr 2.71
Zr  0.2500  0.2500  0.2500  4 B 2.71, 4 Y 2.71
B  0.5000  0.5000  0.5000  4 Zr 2.71, 4 B 2.71
B  0.7500  0.7500  0.7500  4 Y 2.71, 4 B 2.71

---

A geometry-optimized Y2ZrB structure. Source: the Open Quantum Materials Database, functional PBE.

Computed properties:
- ρ: 5.55 g/cm³
- E_tot: -25.187 eV for the cell shown
- M_tot: 0.632 μB/f.u.
- Symmetry: F-43m, No. 216

a = 4.9094 Å, b = 4.9094 Å, c = 4.9094 Å
α = 60.00°, β = 60.00°, γ = 60.00°
With the nearest neighbours (Å) after each atom.
Sites, in units of the cell vectors:
Y  0.0000  0.0000  0.0000  4 Zr 3.01, 4 Y 3.01
Y  0.2500  0.2500  0.2500  4 B 3.01, 4 Y 3.01
Zr  0.7500  0.7500  0.7500  4 B 3.01, 4 Y 3.01
B  0.5000  0.5000  0.5000  4 Zr 3.01, 4 Y 3.01

---

Number 6 is which compound? Y3ZnB2

---

Number 9 is which compound? Y4ZnB3

---

What is the ρ in the seventh record? 5.00 g/cm³